1.
A relaxed PmZn3 crystal, computed with GGA-PBE.

Summary:
DFT formation energy = -0.3147 eV/atom
energy = -2.45 eV/atom

Lattice parameters (Å, degrees): 6.3745 6.3745 4.4281 90.00 90.00 120.00
Atoms (fractional coordinates):
Pm 0.3333 0.6667 0.2500
Pm 0.6667 0.3333 0.7500
Zn 0.1460 0.2920 0.7500
Zn 0.1460 0.8540 0.7500
Zn 0.2920 0.1460 0.2500
Zn 0.7080 0.8540 0.7500
Zn 0.8540 0.1460 0.2500
Zn 0.8540 0.7080 0.2500

2.
A relaxed PmZn crystal, computed with GGA-PBE.

Summary:
DFT formation energy = 0.0778 eV/atom
energy = -2.93 eV/atom

Lattice parameters (Å, degrees): 6.6472 6.6472 5.0344 90.00 90.00 120.00
Atoms (fractional coordinates):
Pm 0.0000 0.0000 0.0000
Pm 0.3485 0.1743 0.5000
Pm 0.8257 0.1743 0.5000
Pm 0.8257 0.6515 0.5000
Zn 0.0394 0.5197 0.0000
Zn 0.3333 0.6667 0.5000
Zn 0.4803 0.5197 0.0000
Zn 0.4803 0.9606 0.0000